## TiZnIF2 (meta-GGA SCAN)

Data for TiZnIF2 at its PBEsol-relaxed geometry.

D(E_F) ... 0.497 states/eV/atom
Crystal system ... tetragonal
DFT total energy ... -0.581 hartree per atom
Uncorrected formation energy ... -1.1433 eV/atom

```
data_TiZnIF2
_chemical_formula_sum 'Ti1 Zn1 I1 F2'
_cell_length_a 3.927
_cell_length_b 3.927
_cell_length_c 6.117
_cell_angle_alpha 90.00
_cell_angle_beta 90.00
_cell_angle_gamma 90.00
_space_group_name_H-M_alt 'P 1'
_space_group_IT_number 1
_space_group_name_Hall 'P 1'
loop_
_atom_site_label
_atom_site_type_symbol
_atom_site_fract_x
_atom_site_fract_y
_atom_site_fract_z
Ti1 Ti 0.000 0.000 0.000
Zn1 Zn 0.000 0.000 0.500
I1 I 0.500 0.500 0.000
F1 F 0.000 0.500 0.500
F2 F 0.500 0.000 0.500
```